Entry 1:
Below is crystalline Ho3Zn8Cd at its relaxed geometry, with properties calculated at the PBE level.

Cell and atoms, written as POSCAR:
```
Ho3Zn8Cd
1.0
2.705 1.562 8.824
-2.705 1.562 8.824
0.000 -3.123 8.824
Ho Zn Cd
3 8 1
Direct
0.000 0.000 0.000 Ho
0.126 0.126 0.126 Ho
0.618 0.618 0.618 Ho
0.056 0.562 0.562 Zn
0.062 0.062 0.559 Zn
0.062 0.559 0.062 Zn
0.311 0.311 0.311 Zn
0.559 0.062 0.062 Zn
0.562 0.056 0.562 Zn
0.562 0.562 0.056 Zn
0.810 0.810 0.810 Zn
0.495 0.495 0.495 Cd
```

Computed properties:
- formation energy from the elements (eV per atom) = -0.28
- calculated total energy (eV/atom) = -2.35
- crystal system = trigonal

---

Entry 2:
Below is crystalline Ce5Mg2Pa at its relaxed geometry, with properties calculated at the PBE level.

Cell and atoms, written as POSCAR:
```
Ce5Mg2Pa
1.0
-2.226 2.226 10.316
2.226 -2.226 10.316
2.226 2.226 -10.316
Ce Mg Pa
5 2 1
Direct
0.000 0.000 0.000 Ce
0.121 0.621 0.500 Ce
0.379 0.879 0.500 Ce
0.621 0.121 0.500 Ce
0.879 0.379 0.500 Ce
0.250 0.250 0.000 Mg
0.750 0.750 0.000 Mg
0.500 0.500 0.000 Pa
```

Computed properties:
- formation energy from the elements (eV per atom) = 0.05
- calculated total energy (eV/atom) = -5.25
- crystal system = tetragonal

---

Entry 3:
Below is crystalline Hf2CuBiIr at its relaxed geometry, with properties calculated at the PBE level.

Cell and atoms, written as POSCAR:
```
Hf2CuBiIr
1.0
4.807 0.000 0.000
0.000 4.807 0.000
0.000 0.000 4.666
Hf Cu Bi Ir
2 1 1 1
Direct
0.000 0.500 0.000 Hf
0.500 0.000 0.000 Hf
0.000 0.000 0.000 Cu
0.500 0.500 0.500 Bi
0.000 0.000 0.500 Ir
```

Computed properties:
- formation energy from the elements (eV per atom) = 0.42
- calculated total energy (eV/atom) = -6.93
- crystal system = tetragonal

---

Entry 4:
Below is crystalline Tc2SeI at its relaxed geometry, with properties calculated at the PBE level.

Cell and atoms, written as POSCAR:
```
Tc2SeI
1.0
-2.839 2.839 5.883
2.839 -2.839 5.883
2.839 2.839 -5.883
Tc Se I
4 2 2
Direct
0.091 0.625 0.966 Tc
0.375 0.341 0.466 Tc
0.659 0.125 0.034 Tc
0.875 0.909 0.534 Tc
0.000 0.000 0.000 Se
0.750 0.250 0.500 Se
0.250 0.750 0.500 I
0.500 0.500 0.000 I
```

Computed properties:
- formation energy from raw total energies (eV/atom) = 0.685
- calculated total energy (eV/atom) = -5.76
- crystal system = tetragonal